[1]
A plane-wave DFT calculation with GGA-PBE was carried out for an optimized crystal structure of RbPr2Th.

Cell: 3.7164 3.7164 40.8481 Å, 90.00 90.00 120.00°
Space group R-3m (No. 166, hexagonal axes)
Unique sites:
Rb  0.0000  0.0000  0.0000
Pr  0.0000  0.0000  0.0969
Th  0.0000  0.0000  0.5000

Computed properties:
Its total magnetization is 0.00 μB per formula unit. As for the calculated formation energy: 0.9 eV/f.u.

[2]
A plane-wave DFT calculation with GGA-PBE was carried out for an optimized crystal structure of Th4FeSb.

Cell: 8.945 13.047 6.031 Å, 90.00 109.53 90.00°
Space group C2/c (No. 15)
Unique sites:
Th  0.110  0.168  0.054
Th  0.209  0.409  0.367
Fe  0.000  0.001  0.250
Sb  0.000  0.382  0.750

Computed properties:
Its total magnetization is 0.00 μB per formula unit. Its formation energy without anion corrections is -262 meV/atom. For the offset from the most stable computed form, the calculation gives 27 meV/atom.

[3]
A plane-wave DFT calculation with GGA-PBE was carried out for an optimized crystal structure of SbPd2Cl.

Cell: 3.471 6.581 8.239 Å, 87.21 89.99 89.89°
Space group P1 (No. 1)
Unique sites:
Sb  0.000  0.000  0.000
Sb  0.500  0.005  0.500
Pd  0.000  0.171  0.283
Pd  0.001  0.825  0.713
Pd  0.500  0.171  0.785
Pd  0.501  0.825  0.215
Cl  0.001  0.539  0.266
Cl  0.502  0.538  0.758

Computed properties:
Its total magnetization is 0.00 μB per formula unit. Its formation energy without anion corrections is -278 meV/atom. For the offset from the most stable computed form, the calculation gives 0 meV/atom.

[4]
A plane-wave DFT calculation with GGA-PBE was carried out for an optimized crystal structure of ScMnCl2.

Cell: 3.3535 3.3535 30.1487 Å, 90.00 90.00 120.00°
Space group R-3m (No. 166, hexagonal axes)
Unique sites:
Sc  0.0000  0.0000  0.0000
Mn  0.0000  0.0000  0.5000
Cl  0.0000  0.0000  0.2776

Computed properties:
Its total magnetization is 4.31 μB per formula unit. Its formation energy without anion corrections is -758 meV/atom. For the offset from the most stable computed form, the calculation gives 155 meV/atom.

[5]
A plane-wave DFT calculation with GGA-PBE was carried out for an optimized crystal structure of RbGa3Sb3.

Cell: 10.3274 10.3274 5.0784 Å, 90.00 90.00 120.00°
Space group P6_3/m (No. 176)
Unique sites:
Rb  0.3333  0.6667  0.2500
Ga  0.0623  0.6582  0.7500
Sb  0.0700  0.3918  0.7500

Computed properties:
Its total magnetization is 0.00 μB per formula unit. Its formation energy without anion corrections is -144 meV/atom. For the offset from the most stable computed form, the calculation gives 35 meV/atom.

[6]
A plane-wave DFT calculation with GGA-PBE was carried out for an optimized crystal structure of BaIr2Rh.

Cell: 4.943 4.943 17.454 Å, 90.00 90.00 90.00°
Space group I-42d (No. 122)
Unique sites:
Ba  0.000  0.000  0.000
Ir  0.030  0.250  0.625
Rh  0.000  0.000  0.500

Computed properties:
Its total magnetization is 0.00 μB per formula unit. For the offset from the most stable computed form, the calculation gives 362 meV/atom. As for the calculated formation energy: 1.3 eV/f.u.

Which value of total magnetization does entry 4 give?
4.31 μB per formula unit

Look up the total magnetization of the third one.
0.00 μB per formula unit

What is the total magnetization in the sixth record?
0.00 μB per formula unit

What is the total magnetization in the fifth record?
0.00 μB per formula unit